A plane-wave DFT calculation with PBE-GGA was carried out for a relaxed structure of SiTcIr.

```
data_SiTcIr
_cell_length_a 2.7884
_cell_length_b 3.8705
_cell_length_c 7.7657
_cell_angle_alpha 90.00
_cell_angle_beta 90.00
_cell_angle_gamma 90.00
_symmetry_space_group_name_H-M 'I m m 2'
_symmetry_Int_Tables_number 44
_symmetry_space_group_name_Hall 'I 2 -2'
loop_
_atom_site_label
_atom_site_type_symbol
_atom_site_fract_x
_atom_site_fract_y
_atom_site_fract_z
Si1 Si 0.0000 0.0000 0.0000
Tc1 Tc 0.0000 0.0000 0.6695
Ir1 Ir 0.0000 0.0000 0.3298
```

* volume: 13.968 Å³/atom
* ΔE_f (raw): -0.4 eV/f.u.
* density of states at the Fermi level: 0.570 states/eV per atom



A plane-wave DFT calculation with PBE-GGA was carried out for a relaxed structure of SiTcIr2.

```
data_SiTcIr2
_cell_length_a 2.7766
_cell_length_b 3.7052
_cell_length_c 5.5172
_cell_angle_alpha 90.00
_cell_angle_beta 90.00
_cell_angle_gamma 90.00
_symmetry_space_group_name_H-M 'P m m 2'
_symmetry_Int_Tables_number 25
_symmetry_space_group_name_Hall 'P 2 -2'
loop_
_atom_site_label
_atom_site_type_symbol
_atom_site_fract_x
_atom_site_fract_y
_atom_site_fract_z
Si1 Si 0.0000 0.0000 0.0000
Tc1 Tc 0.5000 0.5000 0.2882
Ir1 Ir 0.0000 0.0000 0.5048
Ir2 Ir 0.5000 0.5000 0.8046
```

* volume: 14.190 Å³/atom
* ΔE_f (raw): -0.6 eV/f.u.
* density of states at the Fermi level: 0.604 states/eV per atom



A plane-wave DFT calculation with PBE-GGA was carried out for a relaxed structure of Si3TcIr.

```
data_Si3TcIr
_cell_length_a 4.5378
_cell_length_b 4.5378
_cell_length_c 4.5378
_cell_angle_alpha 90.00
_cell_angle_beta 90.00
_cell_angle_gamma 90.00
_symmetry_space_group_name_H-M 'P m -3 m'
_symmetry_Int_Tables_number 221
_symmetry_space_group_name_Hall '-P 4 2 3'
loop_
_atom_site_label
_atom_site_type_symbol
_atom_site_fract_x
_atom_site_fract_y
_atom_site_fract_z
Si1 Si 0.0000 0.0000 0.5000
Tc1 Tc 0.0000 0.0000 0.0000
Ir1 Ir 0.5000 0.5000 0.5000
```

* volume: 18.688 Å³/atom
* ΔE_f (raw): 4.8 eV/f.u.
* density of states at the Fermi level: 1.310 states/eV per atom



A plane-wave DFT calculation with PBE-GGA was carried out for a relaxed structure of SiTcIr2.

```
data_SiTcIr2
_cell_length_a 2.8170
_cell_length_b 4.4794
_cell_length_c 4.5198
_cell_angle_alpha 90.00
_cell_angle_beta 90.00
_cell_angle_gamma 90.00
_symmetry_space_group_name_H-M 'P m m m'
_symmetry_Int_Tables_number 47
_symmetry_space_group_name_Hall '-P 2 2'
loop_
_atom_site_label
_atom_site_type_symbol
_atom_site_fract_x
_atom_site_fract_y
_atom_site_fract_z
Si1 Si 0.0000 0.0000 0.0000
Tc1 Tc 0.5000 0.0000 0.5000
Ir1 Ir 0.0000 0.5000 0.5000
Ir2 Ir 0.5000 0.5000 0.0000
```

* volume: 14.258 Å³/atom
* ΔE_f (raw): -0.1 eV/f.u.
* density of states at the Fermi level: 0.985 states/eV per atom



A plane-wave DFT calculation with PBE-GGA was carried out for a relaxed structure of SiTcIr2.

```
data_SiTcIr2
_cell_length_a 3.8438
_cell_length_b 3.8438
_cell_length_c 7.5914
_cell_angle_alpha 90.00
_cell_angle_beta 90.00
_cell_angle_gamma 90.00
_symmetry_space_group_name_H-M 'I 4/m m m'
_symmetry_Int_Tables_number 139
_symmetry_space_group_name_Hall '-I 4 2'
loop_
_atom_site_label
_atom_site_type_symbol
_atom_site_fract_x
_atom_site_fract_y
_atom_site_fract_z
Si1 Si 0.0000 0.0000 0.0000
Tc1 Tc 0.0000 0.0000 0.5000
Ir1 Ir 0.0000 0.5000 0.2500
```

* volume: 14.020 Å³/atom
* ΔE_f (raw): -0.8 eV/f.u.
* density of states at the Fermi level: 0.953 states/eV per atom



A plane-wave DFT calculation with PBE-GGA was carried out for a relaxed structure of Si2TcIr.

```
data_Si2TcIr
_cell_length_a 2.9231
_cell_length_b 4.0411
_cell_length_c 9.2659
_cell_angle_alpha 90.00
_cell_angle_beta 90.00
_cell_angle_gamma 90.00
_symmetry_space_group_name_H-M 'I m m 2'
_symmetry_Int_Tables_number 44
_symmetry_space_group_name_Hall 'I 2 -2'
loop_
_atom_site_label
_atom_site_type_symbol
_atom_site_fract_x
_atom_site_fract_y
_atom_site_fract_z
Si1 Si 0.0000 0.0000 0.0000
Si2 Si 0.0000 0.5000 0.2372
Tc1 Tc 0.0000 0.5000 0.7359
Ir1 Ir 0.0000 0.0000 0.5098
```

* volume: 13.681 Å³/atom
* ΔE_f (raw): -1.2 eV/f.u.
* density of states at the Fermi level: 0.630 states/eV per atom



A plane-wave DFT calculation with PBE-GGA was carried out for a relaxed structure of SiTcIr.

```
data_SiTcIr
_cell_length_a 2.9042
_cell_length_b 2.9042
_cell_length_c 9.6971
_cell_angle_alpha 90.00
_cell_angle_beta 90.00
_cell_angle_gamma 90.00
_symmetry_space_group_name_H-M 'I 4 m m'
_symmetry_Int_Tables_number 107
_symmetry_space_group_name_Hall 'I 4 -2'
loop_
_atom_site_label
_atom_site_type_symbol
_atom_site_fract_x
_atom_site_fract_y
_atom_site_fract_z
Si1 Si 0.0000 0.0000 0.0000
Tc1 Tc 0.0000 0.0000 0.6473
Ir1 Ir 0.0000 0.0000 0.3485
```

* volume: 13.631 Å³/atom
* ΔE_f (raw): -1.0 eV/f.u.
* density of states at the Fermi level: 1.068 states/eV per atom



A plane-wave DFT calculation with PBE-GGA was carried out for a relaxed structure of Si2TcIr.

```
data_Si2TcIr
_cell_length_a 2.8694
_cell_length_b 3.7755
_cell_length_c 5.2223
_cell_angle_alpha 90.00
_cell_angle_beta 90.00
_cell_angle_gamma 90.00
_symmetry_space_group_name_H-M 'P m m m'
_symmetry_Int_Tables_number 47
_symmetry_space_group_name_Hall '-P 2 2'
loop_
_atom_site_label
_atom_site_type_symbol
_atom_site_fract_x
_atom_site_fract_y
_atom_site_fract_z
Si1 Si 0.0000 0.0000 0.2270
Tc1 Tc 0.5000 0.5000 0.0000
Ir1 Ir 0.0000 0.5000 0.5000
```

* volume: 14.144 Å³/atom
* ΔE_f (raw): -1.2 eV/f.u.
* density of states at the Fermi level: 0.627 states/eV per atom



A plane-wave DFT calculation with PBE-GGA was carried out for a relaxed structure of Si2TcIr.

```
data_Si2TcIr
_cell_length_a 3.1727
_cell_length_b 3.1727
_cell_length_c 5.4882
_cell_angle_alpha 90.00
_cell_angle_beta 90.00
_cell_angle_gamma 90.00
_symmetry_space_group_name_H-M 'P 4 m m'
_symmetry_Int_Tables_number 99
_symmetry_space_group_name_Hall 'P 4 -2'
loop_
_atom_site_label
_atom_site_type_symbol
_atom_site_fract_x
_atom_site_fract_y
_atom_site_fract_z
Si1 Si 0.0000 0.0000 0.0000
Si2 Si 0.5000 0.5000 0.2686
Tc1 Tc 0.0000 0.0000 0.4484
Ir1 Ir 0.5000 0.5000 0.8120
```

* volume: 13.811 Å³/atom
* ΔE_f (raw): -1.7 eV/f.u.
* density of states at the Fermi level: 1.027 states/eV per atom



A plane-wave DFT calculation with PBE-GGA was carried out for a relaxed structure of SiTcIr.

```
data_SiTcIr
_cell_length_a 5.6804
_cell_length_b 5.6804
_cell_length_c 5.6804
_cell_angle_alpha 90.00
_cell_angle_beta 90.00
_cell_angle_gamma 90.00
_symmetry_space_group_name_H-M 'F -4 3 m'
_symmetry_Int_Tables_number 216
_symmetry_space_group_name_Hall 'F -4 2 3'
loop_
_atom_site_label
_atom_site_type_symbol
_atom_site_fract_x
_atom_site_fract_y
_atom_site_fract_z
Si1 Si 0.0000 0.0000 0.0000
Tc1 Tc 0.2500 0.2500 0.2500
Ir1 Ir 0.2500 0.2500 0.7500
```

* volume: 15.274 Å³/atom
* ΔE_f (raw): -0.5 eV/f.u.
* density of states at the Fermi level: 0.786 states/eV per atom



A plane-wave DFT calculation with PBE-GGA was carried out for a relaxed structure of SiTc4Ir.

```
data_SiTc4Ir
_cell_length_a 7.1527
_cell_length_b 7.1527
_cell_length_c 7.1527
_cell_angle_alpha 90.00
_cell_angle_beta 90.00
_cell_angle_gamma 90.00
_symmetry_space_group_name_H-M 'F -4 3 m'
_symmetry_Int_Tables_number 216
_symmetry_space_group_name_Hall 'F -4 2 3'
loop_
_atom_site_label
_atom_site_type_symbol
_atom_site_fract_x
_atom_site_fract_y
_atom_site_fract_z
Si1 Si 0.0000 0.0000 0.0000
Tc1 Tc 0.1249 0.1249 0.6249
Ir1 Ir 0.2500 0.2500 0.2500
```

* volume: 15.248 Å³/atom
* ΔE_f (raw): 3.2 eV/f.u.
* density of states at the Fermi level: 1.214 states/eV per atom



A plane-wave DFT calculation with PBE-GGA was carried out for a relaxed structure of SiTcIr2.

```
data_SiTcIr2
_cell_length_a 6.1078
_cell_length_b 6.1078
_cell_length_c 6.1078
_cell_angle_alpha 90.00
_cell_angle_beta 90.00
_cell_angle_gamma 90.00
_symmetry_space_group_name_H-M 'F -4 3 m'
_symmetry_Int_Tables_number 216
_symmetry_space_group_name_Hall 'F -4 2 3'
loop_
_atom_site_label
_atom_site_type_symbol
_atom_site_fract_x
_atom_site_fract_y
_atom_site_fract_z
Si1 Si 0.0000 0.0000 0.0000
Tc1 Tc 0.2500 0.2500 0.7500
Ir1 Ir 0.0000 0.0000 0.5000
Ir2 Ir 0.2500 0.2500 0.2500
```

* volume: 14.241 Å³/atom
* ΔE_f (raw): 0.1 eV/f.u.
* density of states at the Fermi level: 0.790 states/eV per atom



A plane-wave DFT calculation with PBE-GGA was carried out for a relaxed structure of SiTcIr2.

```
data_SiTcIr2
_cell_length_a 5.3573
_cell_length_b 5.3573
_cell_length_c 11.3465
_cell_angle_alpha 90.00
_cell_angle_beta 90.00
_cell_angle_gamma 90.00
_symmetry_space_group_name_H-M 'I -4 2 d'
_symmetry_Int_Tables_number 122
_symmetry_space_group_name_Hall 'I -4 2bw'
loop_
_atom_site_label
_atom_site_type_symbol
_atom_site_fract_x
_atom_site_fract_y
_atom_site_fract_z
Si1 Si 0.0000 0.0000 0.0000
Tc1 Tc 0.0000 0.0000 0.5000
Ir1 Ir 0.2382 0.2500 0.1250
```

* volume: 20.353 Å³/atom
* ΔE_f (raw): 1.7 eV/f.u.
* density of states at the Fermi level: 1.015 states/eV per atom



A plane-wave DFT calculation with PBE-GGA was carried out for a relaxed structure of SiTcIr2.

```
data_SiTcIr2
_cell_length_a 3.9253
_cell_length_b 2.7963
_cell_length_c 10.3213
_cell_angle_alpha 90.00
_cell_angle_beta 90.00
_cell_angle_gamma 90.00
_symmetry_space_group_name_H-M 'A m m 2'
_symmetry_Int_Tables_number 38
_symmetry_space_group_name_Hall 'A 2 -2'
loop_
_atom_site_label
_atom_site_type_symbol
_atom_site_fract_x
_atom_site_fract_y
_atom_site_fract_z
Si1 Si 0.0000 0.0000 0.0000
Tc1 Tc 0.5000 0.0000 0.6057
Ir1 Ir 0.0000 0.0000 0.2322
Ir2 Ir 0.5000 0.0000 0.8685
```

* volume: 14.161 Å³/atom
* ΔE_f (raw): -1.2 eV/f.u.
* density of states at the Fermi level: 0.717 states/eV per atom